Computed, not measured: RbBe2WF after structural relaxation at the GGA+U level of DFT.

Computed properties:
**Electronic total energy**: -7.2 eV/cell
**SG**: P4/mmm

Cell and atoms, written as POSCAR:
```
RbBe2WF
1.0
-4.875 0.897 4.311
4.612 -1.118 5.448
1.344 6.428 0.182
Be Rb W F
2 1 1 1
Cartesian
0.672 3.214 0.091
-2.438 0.449 2.156
0.000 0.000 0.000
2.306 -0.559 2.724
0.541 3.103 4.971
```